# Pr6As2RhSe3 GGA-PBE relaxed
# electronic total energy: -6.184 eV/atom
# space group: C2/m
# density of states at the Fermi level: 6.21 states/eV per cell
# volume: 333 Å³ per cell
data_Pr6As2RhSe3
_chemical_formula_sum 'Pr6 As2 Rh1 Se3'
_symmetry_space_group_name_H-M 'P 1'
_symmetry_Int_Tables_number 1
_cell_length_a 9.573
_cell_length_b 9.573
_cell_length_c 8.643
_cell_angle_alpha 103.24
_cell_angle_beta 103.24
_cell_angle_gamma 25.64
loop_
_symmetry_equiv_pos_as_xyz
'x,y,z'
loop_
_atom_site_label
_atom_site_type_symbol
_atom_site_fract_x
_atom_site_fract_y
_atom_site_fract_z
_atom_site_occupancy
Pr1 Pr 0.001 0.001 0.238 1
Pr2 Pr 0.331 0.331 0.422 1
Pr3 Pr 0.339 0.339 0.913 1
Pr4 Pr 0.661 0.661 0.087 1
Pr5 Pr 0.669 0.669 0.578 1
Pr6 Pr 0.999 0.999 0.762 1
As1 As 0.166 0.166 0.334 1
As2 As 0.834 0.834 0.666 1
Rh1 Rh 0.500 0.500 0.000 1
Se1 Se 0.170 0.170 0.833 1
Se2 Se 0.500 0.500 0.500 1
Se3 Se 0.830 0.830 0.167 1

---

# Pr3SiAs2Rh9 GGA-PBE relaxed
# electronic total energy: -6.846 eV/atom
# space group: P-3m1
# density of states at the Fermi level: 5.14 states/eV per cell
# volume: 297 Å³ per cell
data_Pr3SiAs2Rh9
_chemical_formula_sum 'Pr3 Si1 As2 Rh9'
_symmetry_space_group_name_H-M 'P 1'
_symmetry_Int_Tables_number 1
_cell_length_a 6.372
_cell_length_b 6.372
_cell_length_c 8.449
_cell_angle_alpha 90.00
_cell_angle_beta 90.00
_cell_angle_gamma 120.00
loop_
_symmetry_equiv_pos_as_xyz
'x,y,z'
loop_
_atom_site_label
_atom_site_type_symbol
_atom_site_fract_x
_atom_site_fract_y
_atom_site_fract_z
_atom_site_occupancy
Pr1 Pr 0.000 0.000 0.000 1
Pr2 Pr 0.333 0.667 0.678 1
Pr3 Pr 0.667 0.333 0.322 1
Si1 Si 0.000 0.000 0.500 1
As1 As 0.333 0.667 0.182 1
As2 As 0.667 0.333 0.818 1
Rh1 Rh 0.000 0.500 0.000 1
Rh2 Rh 0.143 0.287 0.294 1
Rh3 Rh 0.143 0.857 0.294 1
Rh4 Rh 0.287 0.143 0.706 1
Rh5 Rh 0.500 0.000 0.000 1
Rh6 Rh 0.500 0.500 0.000 1
Rh7 Rh 0.713 0.857 0.294 1
Rh8 Rh 0.857 0.143 0.706 1
Rh9 Rh 0.857 0.713 0.706 1